# 1
First-principles (PBE) data for crystalline FeIr2Ru at its relaxed geometry, as listed in the Alexandria database.

abc: 8.8458 8.8458 8.8458
angles: 17.66 17.66 17.66
Sites, in units of the cell vectors:
Fe 0.7500 0.7500 0.7500
Ir 0.2488 0.2488 0.2488
Ir 0.0029 0.0029 0.0029
Ru 0.4983 0.4983 0.4983

=====

# 2
First-principles (PBE) data for crystalline FeIr2Ru at its relaxed geometry, as listed in the Alexandria database.

abc: 4.5754 4.5754 2.7186
angles: 90.00 90.00 90.00
Sites, in units of the cell vectors:
Ir 0.5000 0.5000 0.0000
Ir 0.0000 0.0000 0.0000
Fe 0.0000 0.5000 0.5000
Ru 0.5000 0.0000 0.5000

=====

# 3
First-principles (PBE) data for crystalline FeIr4Ru2 at its relaxed geometry, as listed in the Alexandria database.

abc: 4.5139 4.5139 6.8457
angles: 70.75 70.75 90.00
Sites, in units of the cell vectors:
Ru 0.3869 0.3869 0.2262
Ru 0.6131 0.6131 0.7738
Ir 0.8061 0.8061 0.3878
Ir 0.0000 0.5000 0.0000
Ir 0.1939 0.1939 0.6122
Ir 0.5000 0.0000 0.0000
Fe 0.0000 0.0000 0.0000

=====

# 4
First-principles (PBE) data for crystalline FeIr4Ru2 at its relaxed geometry, as listed in the Alexandria database.

abc: 2.6985 8.4953 9.4111
angles: 90.00 90.00 99.14
Sites, in units of the cell vectors:
Ir 0.2347 0.4693 0.8855
Ir 0.9994 0.9989 0.7500
Ir 0.5000 0.0000 0.5000
Ir 0.7653 0.5307 0.3855
Ir 0.5000 0.0000 0.0000
Ir 0.7653 0.5307 0.1145
Ir 0.2347 0.4693 0.6145
Ir 0.0006 0.0011 0.2500
Ru 0.1301 0.2603 0.3896
Ru 0.8699 0.7397 0.6104
Ru 0.8699 0.7397 0.8896
Ru 0.1301 0.2603 0.1104
Fe 0.6247 0.2494 0.7500
Fe 0.3753 0.7506 0.2500

=====

# 5
First-principles (PBE) data for crystalline Fe2Ir2Ru at its relaxed geometry, as listed in the Alexandria database.

abc: 2.6830 2.7029 9.6683
angles: 81.96 90.00 90.00
Sites, in units of the cell vectors:
Fe 0.0000 0.8032 0.3936
Fe 0.0000 0.1968 0.6064
Ir 0.5000 0.4000 0.1999
Ir 0.5000 0.6000 0.8001
Ru 0.0000 0.0000 0.0000

=====

# 6
First-principles (PBE) data for crystalline FeIr6Ru12 at its relaxed geometry, as listed in the Alexandria database.

abc: 6.6254 6.6254 6.6254
angles: 96.23 96.23 96.23
Sites, in units of the cell vectors:
Ru 0.3779 0.3779 0.1099
Ru 0.6221 0.8901 0.6221
Ru 0.7588 0.2412 0.5000
Ru 0.5000 0.2412 0.7588
Ru 0.7588 0.5000 0.2412
Ru 0.3779 0.1099 0.3779
Ru 0.2412 0.5000 0.7588
Ru 0.5000 0.7588 0.2412
Ru 0.2412 0.7588 0.5000
Ru 0.1099 0.3779 0.3779
Ru 0.8901 0.6221 0.6221
Ru 0.6221 0.6221 0.8901
Fe 0.0000 0.0000 0.0000
Ir 0.8994 0.8994 0.3389
Ir 0.3389 0.8994 0.8994
Ir 0.8994 0.3389 0.8994
Ir 0.6611 0.1006 0.1006
Ir 0.1006 0.6611 0.1006
Ir 0.1006 0.1006 0.6611

=====

# 7
First-principles (PBE) data for crystalline FeIrRu at its relaxed geometry, as listed in the Alexandria database.

abc: 3.9983 3.9983 3.9983
angles: 60.00 60.00 60.00
Sites, in units of the cell vectors:
Fe 0.7500 0.7500 0.7500
Ru 0.5000 0.5000 0.5000
Ir 0.0000 0.0000 0.0000

=====

# 8
First-principles (PBE) data for crystalline FeIr2Ru at its relaxed geometry, as listed in the Alexandria database.

abc: 4.6373 4.6373 2.7139
angles: 90.00 90.00 108.97
Sites, in units of the cell vectors:
Ir 0.5000 0.5000 0.0000
Ir 0.0000 0.0000 0.0000
Fe 0.0000 0.5000 0.5000
Ru 0.5000 0.0000 0.5000

=====

# 9
First-principles (PBE) data for crystalline FeIrRu at its relaxed geometry, as listed in the Alexandria database.

abc: 3.9890 3.9988 6.9292
angles: 125.29 90.00 90.00
Sites, in units of the cell vectors:
Ru 0.9376 0.6757 0.2664
Ru 0.4375 0.1759 0.2669
Ir 0.4376 0.6760 0.7665
Ir 0.9375 0.1756 0.7668
Fe 0.4376 0.9205 0.5113
Fe 0.9376 0.9312 0.0221

=====

# 10
First-principles (PBE) data for crystalline Fe2IrRu at its relaxed geometry, as listed in the Alexandria database.

abc: 2.6912 3.6892 5.2463
angles: 90.00 90.00 90.00
Sites, in units of the cell vectors:
Fe 0.5000 0.5000 0.2434
Fe 0.0000 0.0000 0.0035
Ir 0.0000 0.0000 0.4958
Ru 0.5000 0.5000 0.7573

=====

# 11
First-principles (PBE) data for crystalline FeIr2Ru at its relaxed geometry, as listed in the Alexandria database.

abc: 4.3259 4.3259 4.3259
angles: 60.00 60.00 60.00
Sites, in units of the cell vectors:
Ir 0.2500 0.2500 0.2500
Ir 0.7500 0.7500 0.7500
Fe 0.0000 0.0000 0.0000
Ru 0.5000 0.5000 0.5000

=====

# 12
First-principles (PBE) data for crystalline FeIr15Ru4 at its relaxed geometry, as listed in the Alexandria database.

abc: 3.8563 3.8563 19.2401
angles: 90.00 90.00 90.00
Sites, in units of the cell vectors:
Ir 0.0000 0.5000 0.7006
Ir 0.0000 0.5000 0.2994
Ir 0.5000 0.5000 0.6004
Ir 0.0000 0.5000 0.5000
Ir 0.5000 0.5000 0.0000
Ir 0.5000 0.5000 0.1995
Ir 0.5000 0.0000 0.2994
Ir 0.5000 0.0000 0.7006
Ir 0.5000 0.0000 0.5000
Ir 0.0000 0.5000 0.0992
Ir 0.0000 0.5000 0.9008
Ir 0.5000 0.5000 0.3996
Ir 0.5000 0.0000 0.0992
Ir 0.5000 0.0000 0.9008
Ir 0.5000 0.5000 0.8005
Ru 0.0000 0.0000 0.8020
Ru 0.0000 0.0000 0.1980
Ru 0.0000 0.0000 0.6001
Ru 0.0000 0.0000 0.3999
Fe 0.0000 0.0000 0.0000

=====

# 13
First-principles (PBE) data for crystalline Fe3Ir6Ru2 at its relaxed geometry, as listed in the Alexandria database.

abc: 2.7068 4.2609 13.6371
angles: 99.00 95.71 90.01
Sites, in units of the cell vectors:
Ir 0.2775 0.2775 0.5556
Ir 0.8676 0.3672 0.7352
Ir 0.4032 0.9026 0.8059
Ir 0.5968 0.0974 0.1941
Ir 0.7225 0.7225 0.4444
Ir 0.1324 0.6328 0.2648
Fe 0.1850 0.1844 0.3683
Fe 0.8150 0.8156 0.6317
Fe 0.0000 0.0000 0.0000
Ru 0.5444 0.5448 0.0892
Ru 0.4556 0.4552 0.9108

=====

# 14
First-principles (PBE) data for crystalline FeIr2Ru at its relaxed geometry, as listed in the Alexandria database.

abc: 4.6662 4.6662 4.6662
angles: 131.98 131.98 70.26
Sites, in units of the cell vectors:
Ru 0.5000 0.5000 0.0000
Ir 0.2500 0.7500 0.5000
Ir 0.0000 0.0000 0.0000
Fe 0.7500 0.2500 0.5000

=====

# 15
First-principles (PBE) data for crystalline FeIr2Ru at its relaxed geometry, as listed in the Alexandria database.

abc: 2.6879 2.6879 9.0305
angles: 90.00 90.00 118.82
Sites, in units of the cell vectors:
Ir 0.0000 0.0000 0.9915
Ir 0.0000 0.0000 0.5085
Fe 0.5000 0.5000 0.7500
Ru 0.5000 0.5000 0.2500

=====

# 16
First-principles (PBE) data for crystalline FeIr3Ru at its relaxed geometry, as listed in the Alexandria database.

abc: 2.7338 5.1115 10.3585
angles: 93.28 90.00 105.51
Sites, in units of the cell vectors:
Ir 0.9674 0.9347 0.3248
Ir 0.2345 0.4691 0.2899
Ir 0.4324 0.8649 0.8828
Ir 0.0326 0.0653 0.6752
Ir 0.7655 0.5309 0.7101
Ir 0.5676 0.1351 0.1172
Ru 0.8332 0.6664 0.0837
Ru 0.1668 0.3336 0.9163
Fe 0.6334 0.2669 0.4857
Fe 0.3666 0.7331 0.5143

=====

# 17
First-principles (PBE) data for crystalline FeIr2Ru at its relaxed geometry, as listed in the Alexandria database.

abc: 4.6714 4.6714 4.6455
angles: 79.87 79.87 33.66
Sites, in units of the cell vectors:
Ru 0.2500 0.2500 0.2500
Ir 0.0022 0.0022 0.9970
Ir 0.4978 0.4978 0.5030
Fe 0.7500 0.7500 0.7500

=====

# 18
First-principles (PBE) data for crystalline FeIr2Ru at its relaxed geometry, as listed in the Alexandria database.

abc: 5.3483 5.3483 6.6230
angles: 66.19 66.19 90.00
Sites, in units of the cell vectors:
Fe 0.5000 0.5000 0.0000
Fe 0.2500 0.7500 0.5000
Ru 0.7500 0.2500 0.5000
Ru 0.0000 0.0000 0.0000
Ir 0.8750 0.8545 0.7500
Ir 0.1455 0.6250 0.2500
Ir 0.6045 0.1250 0.2500
Ir 0.3750 0.3955 0.7500

=====

# 19
First-principles (PBE) data for crystalline FeIrRu at its relaxed geometry, as listed in the Alexandria database.

abc: 4.6126 4.6126 4.6126
angles: 145.97 132.41 59.79
Sites, in units of the cell vectors:
Ru 0.6647 0.6647 0.0000
Fe 0.0005 0.0005 0.0000
Ir 0.3347 0.3347 0.0000

=====

# 20
First-principles (PBE) data for crystalline FeIr3Ru at its relaxed geometry, as listed in the Alexandria database.

abc: 4.3964 4.3964 4.3964
angles: 90.00 90.00 90.00
Sites, in units of the cell vectors:
Ir 0.5000 0.0000 0.0000
Ir 0.0000 0.5000 0.0000
Ir 0.0000 0.0000 0.5000
Ru 0.5000 0.5000 0.5000
Fe 0.0000 0.0000 0.0000

=====

# 21
First-principles (PBE) data for crystalline Fe2IrRu at its relaxed geometry, as listed in the Alexandria database.

abc: 4.2450 4.2450 2.9757
angles: 90.00 90.00 90.00
Sites, in units of the cell vectors:
Ru 0.0000 0.5000 0.5000
Ir 0.5000 0.0000 0.5000
Fe 0.5000 0.5000 0.0000
Fe 0.0000 0.0000 0.0000

=====

# 22
First-principles (PBE) data for crystalline Fe4Ir5Ru at its relaxed geometry, as listed in the Alexandria database.

abc: 2.6951 2.6951 18.3910
angles: 90.00 90.00 90.00
Sites, in units of the cell vectors:
Fe 0.0000 0.0000 0.7953
Fe 0.0000 0.0000 0.2047
Fe 0.0000 0.0000 0.4017
Fe 0.0000 0.0000 0.5983
Ir 0.5000 0.5000 0.6963
Ir 0.5000 0.5000 0.8959
Ir 0.5000 0.5000 0.3037
Ir 0.5000 0.5000 0.5000
Ir 0.5000 0.5000 0.1041
Ru 0.0000 0.0000 0.0000

=====

# 23
First-principles (PBE) data for crystalline Fe3Ir6Ru at its relaxed geometry, as listed in the Alexandria database.

abc: 3.8243 8.4174 8.5276
angles: 90.93 90.00 90.00
Sites, in units of the cell vectors:
Ru 0.7500 0.0501 0.4018
Ru 0.2500 0.9499 0.5982
Fe 0.2500 0.3522 0.8016
Fe 0.2500 0.7463 0.9988
Fe 0.7500 0.4494 0.6017
Fe 0.7500 0.2537 0.0012
Fe 0.2500 0.5506 0.3983
Fe 0.7500 0.6478 0.1984
Ir 0.7500 0.8472 0.8009
Ir 0.2500 0.2541 0.5034
Ir 0.7500 0.9454 0.0993
Ir 0.2500 0.6448 0.6973
Ir 0.7500 0.1552 0.7030
Ir 0.7500 0.3552 0.3027
Ir 0.2500 0.8448 0.2970
Ir 0.7500 0.7459 0.4966
Ir 0.2500 0.0546 0.9007
Ir 0.2500 0.4530 0.1002
Ir 0.2500 0.1528 0.1991
Ir 0.7500 0.5470 0.8998

=====

# 24
First-principles (PBE) data for crystalline FeIrRu4 at its relaxed geometry, as listed in the Alexandria database.

abc: 2.7220 4.2814 7.1610
angles: 90.01 101.04 90.00
Sites, in units of the cell vectors:
Ir 0.6138 0.0027 0.4732
Fe 0.3913 0.5028 0.0278
Ru 0.2849 0.0027 0.8155
Ru 0.0559 0.5027 0.3585
Ru 0.9449 0.0027 0.1341
Ru 0.7282 0.5027 0.7022

=====

# 25
First-principles (PBE) data for crystalline FeIrRu at its relaxed geometry, as listed in the Alexandria database.

abc: 5.8554 5.8554 5.8554
angles: 153.36 153.36 38.03
Sites, in units of the cell vectors:
Ir 0.3359 0.3359 0.0000
Ru 0.6631 0.6631 0.0000
Fe 0.0010 0.0010 0.0000

=====

E list, top to bottom, in eV per atom: -8.798, -8.582, -7.516, -8.632, -8.669, -8.844, -8.420, -8.859, -8.412, -8.715, -8.491, -8.961, -8.725, -8.876, -8.604, -8.895, -8.873, -7.863, -8.863, -7.214, -8.645, -8.780, -8.821, -9.069, -8.827
Size of the total moment list, top to bottom, in Bohr magnetons per cell: 2.89, 3.84, 0.74, 4.94, 5.37, 2.65, 1.91, 2.58, 3.66, 4.41, 5.08, 2.73, 1.88, 2.51, 4.23, 4.90, 2.56, 0.00, 1.87, 1.25, 7.29, 9.24, 15.09, 1.54, 2.01
Calculated formation energy list, top to bottom, in eV/f.u.: 0.3, 1.1, 9.8, 2.0, 0.6, 4.9, 1.3, 0.0, 1.4, 0.2, 1.5, -0.7, 1.1, 0.0, 1.0, -0.2, 0.0, 4.0, 0.0, 8.2, 0.5, -0.4, -0.4, 0.0, 0.1